1.
# PmNd12Sn3 GGA-PBE optimized geometry
data_PmNd12Sn3
_chemical_formula_sum 'Pm1 Nd12 Sn3'
_symmetry_space_group_name_H-M 'P 4/m m m'
_symmetry_Int_Tables_number 123
_symmetry_space_group_name_Hall '-P 4 2'
_cell_length_a 4.983
_cell_length_b 4.983
_cell_length_c 20.332
_cell_angle_alpha 90.00
_cell_angle_beta 90.00
_cell_angle_gamma 90.00
loop_
_atom_site_label
_atom_site_type_symbol
_atom_site_fract_x
_atom_site_fract_y
_atom_site_fract_z
Pm1 Pm 0.000 0.000 0.000
Nd1 Nd 0.000 0.500 0.134
Nd2 Nd 0.000 0.500 0.379
Nd3 Nd 0.500 0.500 0.000
Nd4 Nd 0.500 0.500 0.258
Nd5 Nd 0.500 0.500 0.500
Sn1 Sn 0.000 0.000 0.256
Sn2 Sn 0.000 0.000 0.500
# Formation enthalpy at 0 K = -0.322 eV/atom



2.
# BaRhAu2 GGA-PBE optimized geometry
data_BaRhAu2
_chemical_formula_sum 'Ba2 Rh2 Au4'
_symmetry_space_group_name_H-M 'I 4/m m m'
_symmetry_Int_Tables_number 139
_symmetry_space_group_name_Hall '-I 4 2'
_cell_length_a 4.253
_cell_length_b 4.253
_cell_length_c 9.834
_cell_angle_alpha 90.00
_cell_angle_beta 90.00
_cell_angle_gamma 90.00
loop_
_atom_site_label
_atom_site_type_symbol
_atom_site_fract_x
_atom_site_fract_y
_atom_site_fract_z
Ba1 Ba 0.000 0.000 0.000
Rh1 Rh 0.000 0.000 0.500
Au1 Au 0.000 0.500 0.250
# Formation enthalpy at 0 K = 0.011 eV/atom
# Energy relative to the lowest polymorph listed for this composition = 352.6 meV/atom



- Which formula does entry 2 have?
  BaRhAu2